Below is a relaxed structure of ScFeSbPd, with properties calculated at the PBE level.

Output
* M_tot: 2.59 μB per cell
* SG: F-43m, No. 216
* total DFT energy (no corrections): -25.268 eV for the cell shown

a b c (Å): 4.638 4.638 4.638
angles (deg): 60.00 60.00 60.00
Fractional positions:
1 Sc 0.000 0.000 0.000
2 Fe 0.500 0.500 0.500
3 Sb 0.250 0.250 0.250
4 Pd 0.750 0.750 0.750


Below is a relaxed structure of ScFeSbPd, with properties calculated at the PBE level.

Output
* M_tot: 1.73 μB per cell
* SG: F-43m, No. 216
* total DFT energy (no corrections): -25.739 eV for the cell shown

a b c (Å): 4.560 4.560 4.560
angles (deg): 60.00 60.00 60.00
Fractional positions:
1 Sc 0.000 0.000 0.000
2 Fe 0.750 0.750 0.750
3 Sb 0.500 0.500 0.500
4 Pd 0.250 0.250 0.250


Below is a relaxed structure of TaFeSbPd, with properties calculated at the PBE level.

Output
* M_tot: 0.85 μB per cell
* SG: F-43m, No. 216
* total DFT energy (no corrections): -29.204 eV for the cell shown

a b c (Å): 4.522 4.522 4.522
angles (deg): 60.00 60.00 60.00
Fractional positions:
1 Ta 0.000 0.000 0.000
2 Fe 0.750 0.750 0.750
3 Sb 0.500 0.500 0.500
4 Pd 0.250 0.250 0.250


Below is a relaxed structure of TaFeSbPd, with properties calculated at the PBE level.

Output
* M_tot: 1.90 μB per cell
* SG: F-43m, No. 216
* total DFT energy (no corrections): -28.989 eV for the cell shown

a b c (Å): 4.550 4.550 4.550
angles (deg): 60.00 60.00 60.00
Fractional positions:
1 Ta 0.000 0.000 0.000
2 Fe 0.500 0.500 0.500
3 Sb 0.250 0.250 0.250
4 Pd 0.750 0.750 0.750


Below is a relaxed structure of FeSbPdW, with properties calculated at the PBE level.

Output
* M_tot: 1.91 μB per cell
* SG: F-43m, No. 216
* total DFT energy (no corrections): -29.097 eV for the cell shown

a b c (Å): 4.490 4.490 4.490
angles (deg): 60.00 60.00 60.00
Fractional positions:
1 Fe 0.000 0.000 0.000
2 Sb 0.750 0.750 0.750
3 Pd 0.250 0.250 0.250
4 W 0.500 0.500 0.500


Below is a relaxed structure of FeSbPdW, with properties calculated at the PBE level.

Output
* M_tot: 0.75 μB per cell
* SG: F-43m, No. 216
* total DFT energy (no corrections): -28.817 eV for the cell shown

a b c (Å): 4.482 4.482 4.482
angles (deg): 60.00 60.00 60.00
Fractional positions:
1 Fe 0.000 0.000 0.000
2 Sb 0.750 0.750 0.750
3 Pd 0.500 0.500 0.500
4 W 0.250 0.250 0.250


Below is a relaxed structure of YFeSbPd, with properties calculated at the PBE level.

Output
* M_tot: 1.87 μB per cell
* SG: F-43m, No. 216
* total DFT energy (no corrections): -25.585 eV for the cell shown

a b c (Å): 4.722 4.722 4.722
angles (deg): 60.00 60.00 60.00
Fractional positions:
1 Y 0.000 0.000 0.000
2 Fe 0.750 0.750 0.750
3 Sb 0.500 0.500 0.500
4 Pd 0.250 0.250 0.250


Below is a relaxed structure of YFeSbPd, with properties calculated at the PBE level.

Output
* M_tot: 2.68 μB per cell
* SG: F-43m, No. 216
* total DFT energy (no corrections): -25.192 eV for the cell shown

a b c (Å): 4.823 4.823 4.823
angles (deg): 60.00 60.00 60.00
Fractional positions:
1 Y 0.000 0.000 0.000
2 Fe 0.500 0.500 0.500
3 Sb 0.250 0.250 0.250
4 Pd 0.750 0.750 0.750


Please write out number 8 again, unchanged.
Below is a relaxed structure of YFeSbPd, with properties calculated at the PBE level.

Output
* M_tot: 2.68 μB per cell
* SG: F-43m, No. 216
* total DFT energy (no corrections): -25.192 eV for the cell shown

a b c (Å): 4.823 4.823 4.823
angles (deg): 60.00 60.00 60.00
Fractional positions:
1 Y 0.000 0.000 0.000
2 Fe 0.500 0.500 0.500
3 Sb 0.250 0.250 0.250
4 Pd 0.750 0.750 0.750


Among the records above, which one has the highest total DFT energy (no corrections)?
number 8